First-principles (GGA-PBE) data for a geometry-optimized CoSe2Br structure, as listed in Alexandria.

The structure in POSCAR format:
```
CoSe2Br
1.0
4.7735 0.0410 0.0000
-0.0427 4.7735 0.0000
-2.3654 -2.4073 3.3761
Br Co Se
1 1 2
direct
0.5000 0.5000 0.0000
0.7500 0.2500 0.5000
0.0000 0.0000 0.0000
0.2500 0.7500 0.5000
```

Calculated values
DFT total energy	-3.163	eV/atom
energy relative to the elements, uncorrected	773.8	meV per atom
D(E_F)	5.7	states/eV/f.u.
space group	F-43m

***

First-principles (GGA-PBE) data for a geometry-optimized FeCoCl2 structure, as listed in Alexandria.

The structure in POSCAR format:
```
FeCoCl2
1.0
0.1745 -6.0631 4.7289
-1.3448 -7.2870 2.0603
1.9554 -7.1202 2.1524
Fe Cl Co
1 2 1
direct
0.0000 0.0000 0.0000
0.1003 0.1003 0.1003
0.8997 0.8997 0.8997
0.5000 0.5000 0.5000
```

Calculated values
DFT total energy	-4.653	eV/atom
energy relative to the elements, uncorrected	162.7	meV per atom
D(E_F)	7.2	states/eV/f.u.
space group	R-3m

***

First-principles (GGA-PBE) data for a geometry-optimized RbGe2Pt2 structure, as listed in Alexandria.

The structure in POSCAR format:
```
RbGe2Pt2
1.0
-3.3916 2.3398 -1.0868
-1.1598 -2.9863 -2.8099
-5.9762 -3.4395 2.8911
Rb Pt Ge
1 2 2
direct
0.0000 0.0000 0.0000
0.7500 0.2500 0.5000
0.2500 0.7500 0.5000
0.6521 0.6521 0.6958
0.3479 0.3479 0.3042
```

Calculated values
DFT total energy	-4.905	eV/atom
D(E_F)	2.3	states/eV/f.u.
space group	I4/mmm
ΔE_f	-0.448	eV per atom

***

First-principles (GGA-PBE) data for a geometry-optimized Tm5Ge2Pb structure, as listed in Alexandria.

The structure in POSCAR format:
```
Tm5Ge2Pb
1.0
7.0937 0.0000 -3.3486
-1.5807 6.9153 -3.3486
-0.2618 -0.3284 8.6334
Tm Pb Ge
10 2 4
direct
0.5000 0.5000 0.0000
0.2942 0.7942 0.2825
0.5117 0.7058 0.7175
0.7058 0.2058 0.7175
0.2058 0.0117 0.7175
0.9883 0.4883 0.2825
0.7942 0.9883 0.2825
0.0000 0.0000 0.0000
0.4883 0.2942 0.2825
0.0117 0.5117 0.7175
0.7500 0.7500 0.5000
0.2500 0.2500 0.5000
0.3498 0.8498 0.0000
0.8498 0.6502 0.0000
0.1502 0.3498 0.0000
0.6502 0.1502 0.0000
```

Calculated values
DFT total energy	-5.090	eV/atom
D(E_F)	5.6	states/eV/f.u.
space group	I4/mcm
ΔE_f	-0.677	eV per atom

***

First-principles (GGA-PBE) data for a geometry-optimized RbLiCr2 structure, as listed in Alexandria.

The structure in POSCAR format:
```
RbLiCr2
1.0
1.5527 -1.1112 5.2083
1.6119 4.1158 3.3517
-3.2214 1.5438 4.2439
Cr Li Rb
2 1 1
direct
0.7500 0.7500 0.7500
0.2500 0.2500 0.2500
0.0000 0.0000 0.0000
0.5000 0.5000 0.5000
```

Calculated values
DFT total energy	-4.214	eV/atom
D(E_F)	2.3	states/eV/f.u.
space group	Fm-3m
ΔE_f	1.318	eV per atom

***

First-principles (GGA-PBE) data for a geometry-optimized K2CoNiCl6 structure, as listed in Alexandria.

The structure in POSCAR format:
```
K2CoNiCl6
1.0
-0.6624 1.4853 6.6353
-5.8369 -3.5438 0.2110
-0.7836 -5.0235 4.5636
Cl K Co Ni
6 2 1 1
direct
0.2501 0.2506 0.9999
0.7499 0.7494 0.0001
0.7494 0.2501 0.0000
0.2502 0.2502 0.4996
0.7498 0.7498 0.5004
0.2506 0.7499 0.0000
0.2499 0.7500 0.5002
0.7501 0.2501 0.4998
0.0000 0.0000 0.0000
0.5000 0.5000 0.0000
```

Calculated values
DFT total energy	-3.703	eV/atom
energy relative to the elements, uncorrected	-1087.1	meV per atom
D(E_F)	10.4	states/eV/f.u.
space group	Fm-3m

***

First-principles (GGA-PBE) data for a geometry-optimized Cs2Rb4SnSb2 structure, as listed in Alexandria.

The structure in POSCAR format:
```
Cs2Rb4SnSb2
1.0
6.0315 0.5230 0.3558
2.1665 9.4710 0.6863
2.1665 4.1159 8.5575
Sb Sn Rb Cs
2 1 4 2
direct
0.2951 0.2046 0.2046
0.7049 0.7954 0.7954
0.5000 0.0000 0.0000
0.1330 0.0693 0.6668
0.1330 0.6668 0.0693
0.8670 0.3332 0.9307
0.8670 0.9307 0.3332
0.3565 0.6422 0.6422
0.6435 0.3578 0.3578
```

Calculated values
DFT total energy	-2.176	eV/atom
energy relative to the elements, uncorrected	-195.2	meV per atom
D(E_F)	5.6	states/eV/f.u.
space group	C2/m

***

First-principles (GGA-PBE) data for a geometry-optimized TbPr2Tm8 structure, as listed in Alexandria.

The structure in POSCAR format:
```
TbPr2Tm8
1.0
-1.9115 5.2773 -3.4043
-6.2620 -1.0136 1.9450
3.5991 2.2325 7.7689
Tm Pr Tb
8 2 1
direct
0.3464 0.4005 0.1714
0.8250 0.4005 0.1714
0.1993 0.8021 0.3986
0.4116 0.0936 0.8232
0.6536 0.5995 0.8286
0.8007 0.1979 0.6014
0.5884 0.9064 0.1768
0.1750 0.5995 0.8286
0.7547 0.6892 0.5094
0.2453 0.3108 0.4906
0.0000 0.0000 0.0000
```

Calculated values
DFT total energy	-4.364	eV/atom
D(E_F)	16.1	states/eV/f.u.
space group	C2/m
ΔE_f	0.178	eV per atom

***

First-principles (GGA-PBE) data for a geometry-optimized Rb5GeS4 structure, as listed in Alexandria.

The structure in POSCAR format:
```
Rb5GeS4
1.0
-7.4944 -1.9342 1.0771
-0.4892 -3.4466 -9.5931
2.6945 -8.7633 3.0110
S Rb Ge
8 10 2
direct
0.6176 0.5000 0.7090
0.0377 0.8027 0.0000
0.9623 0.3027 0.5000
0.0377 0.1973 0.0000
0.3824 0.0000 0.7910
0.3824 0.0000 0.2090
0.6176 0.5000 0.2910
0.9623 0.6973 0.5000
0.2637 0.6928 0.7414
0.2637 0.6928 0.2586
0.7363 0.1928 0.7586
0.7363 0.1928 0.2414
0.7363 0.8072 0.2414
0.7363 0.8072 0.7586
0.2637 0.3072 0.2586
0.1520 0.0000 0.5000
0.8480 0.5000 0.0000
0.2637 0.3072 0.7414
0.2116 0.0000 0.0000
0.7884 0.5000 0.5000
```

Calculated values
DFT total energy	-3.472	eV/atom
energy relative to the elements, uncorrected	-875.6	meV per atom
D(E_F)	4.3	states/eV/f.u.
space group	Pmmn

***

First-principles (GGA-PBE) data for a geometry-optimized ZnTe2As structure, as listed in Alexandria.

The structure in POSCAR format:
```
ZnTe2As
1.0
-2.4352 -2.1187 5.1438
5.8479 0.3745 1.5937
-4.8868 3.4351 -1.0943
Te Zn As
2 1 1
direct
0.5055 0.5055 0.0000
0.9945 0.9945 0.0000
0.7500 0.2500 0.5000
0.2500 0.7500 0.5000
```

Calculated values
DFT total energy	-2.838	eV/atom
energy relative to the elements, uncorrected	213.8	meV per atom
D(E_F)	1.9	states/eV/f.u.
space group	Immm

***

First-principles (GGA-PBE) data for a geometry-optimized Nd3Sn2Rh2 structure, as listed in Alexandria.

The structure in POSCAR format:
```
Nd3Sn2Rh2
1.0
5.9430 0.0000 0.0000
0.0000 8.4121 0.0000
0.0000 0.0000 13.9392
Nd Sn Rh
12 8 8
direct
0.8369 0.3964 0.9054
0.8369 0.1036 0.0946
0.8369 0.1036 0.4054
0.1631 0.8964 0.9054
0.3719 0.2566 0.7500
0.1631 0.6036 0.4054
0.1631 0.6036 0.0946
0.3719 0.2434 0.2500
0.8369 0.3964 0.5946
0.6281 0.7566 0.7500
0.1631 0.8964 0.5946
0.6281 0.7434 0.2500
0.3318 0.2500 0.0000
0.8739 0.1069 0.7500
0.8739 0.3931 0.2500
0.1261 0.8931 0.2500
0.1261 0.6069 0.7500
0.6682 0.7500 0.5000
0.6682 0.7500 0.0000
0.3318 0.2500 0.5000
0.6202 0.0427 0.5926
0.6202 0.4573 0.4074
0.3798 0.5427 0.5926
0.3798 0.9573 0.4074
0.6202 0.0427 0.9074
0.6202 0.4573 0.0926
0.3798 0.5427 0.9074
0.3798 0.9573 0.0926
```

Calculated values
DFT total energy	-6.093	eV/atom
D(E_F)	6.0	states/eV/f.u.
space group	Pbcm
ΔE_f	-0.805	eV per atom

***

First-principles (GGA-PBE) data for a geometry-optimized Mg3CoH6 structure, as listed in Alexandria.

The structure in POSCAR format:
```
Mg3CoH6
1.0
-1.4165 3.6213 2.2906
-5.7794 -2.2075 -0.0842
1.5273 -2.7670 5.3190
Mg H Co
6 12 2
direct
0.9883 0.6949 0.9103
0.4883 0.9103 0.6949
0.9883 0.0897 0.3051
0.9058 0.6129 0.3871
0.4058 0.3871 0.6129
0.4883 0.3051 0.0897
0.6365 0.9133 0.3796
0.6365 0.6204 0.0867
0.1811 0.7738 0.2262
0.2575 0.0091 0.9909
0.6811 0.2262 0.7738
0.1365 0.3796 0.9133
0.1365 0.0867 0.6204
0.6984 0.3393 0.3690
0.1984 0.3690 0.3393
0.1984 0.6607 0.6310
0.6984 0.6310 0.6607
0.7575 0.9909 0.0091
0.4945 0.8559 0.1441
0.9945 0.1441 0.8559
```

Calculated values
DFT total energy	-3.336	eV/atom
D(E_F)	1.0	states/eV/f.u.
space group	Cmc2_1